# 1
Pr3MgSn3: optimized geometry, GGA-PBE.

Geometry as POSCAR:
```
Pr3MgSn3
1.0
-2.683 -2.921 -5.019
1.499 -8.438 4.110
-8.108 4.693 1.602
Pr Mg Sn
6 2 6
Cartesian
-6.189 2.099 0.048
-6.178 -4.999 0.097
-3.103 -8.764 0.645
-1.866 -4.991 -2.213
-3.114 -1.666 0.596
-7.426 -1.674 2.906
-2.374 -4.791 2.019
-6.918 -1.875 -1.326
-7.532 0.688 -2.489
-0.481 -3.515 0.264
-4.410 -3.161 -1.918
-1.760 -7.353 3.182
-8.811 -3.151 0.429
-4.882 -3.505 2.611
```

Output
**Magnetic moment**: 0.00 μB/f.u.
**E_form**: -0.438 eV/atom

=====

# 2
Pr5MgSn2: optimized geometry, GGA-PBE.

Geometry as POSCAR:
```
Pr5MgSn2
1.0
7.160 -0.004 -0.002
-0.004 7.160 -0.002
-3.579 -3.579 4.720
Sn Mg Pr
2 1 5
Cartesian
3.579 -0.003 2.095
-0.002 3.579 2.095
0.000 0.000 2.095
-1.790 -1.790 4.456
1.789 -1.792 4.455
-1.792 1.789 4.455
3.577 3.577 2.095
1.787 1.787 4.454
```

Output
**Magnetic moment**: 0.00 μB/f.u.
**E_form**: -0.432 eV/atom

=====

# 3
Pr2Mg3Sn3: optimized geometry, GGA-PBE.

Geometry as POSCAR:
```
Pr2Mg3Sn3
1.0
-0.431 2.291 -4.213
-3.891 -2.511 -0.967
-5.140 6.418 4.016
Pr Sn Mg
2 3 3
Cartesian
-1.315 1.642 1.028
-3.825 4.776 2.988
-4.516 1.953 1.524
-1.946 -1.256 -0.484
-2.786 4.354 -0.099
-6.038 4.730 0.439
-0.216 1.145 -2.106
-3.424 1.467 -1.603
```

Output
**Magnetic moment**: 0.00 μB/f.u.
**E_form**: -0.484 eV/atom

=====

# 4
PrMg3Sn2: optimized geometry, GGA-PBE.

Geometry as POSCAR:
```
PrMg3Sn2
1.0
-0.442 -2.182 4.121
7.427 -3.526 -3.731
0.686 7.646 4.121
Sn Mg Pr
4 6 2
Cartesian
7.479 1.843 1.778
4.111 -1.828 2.135
0.191 0.095 2.733
3.559 3.767 2.376
4.740 1.217 1.153
6.636 -0.571 3.071
1.712 3.280 4.582
1.034 2.510 1.440
5.958 -1.342 -0.071
2.930 0.722 3.358
5.622 2.727 4.709
2.048 -0.789 -0.198
```

Output
**Magnetic moment**: 0.00 μB/f.u.
**E_form**: -0.330 eV/atom

=====

# 5
PrMg2Sn3: optimized geometry, GGA-PBE.

Geometry as POSCAR:
```
PrMg2Sn3
1.0
4.440 0.000 0.000
0.000 4.518 -1.528
0.000 0.064 7.635
Mg Pr Sn
2 1 3
Cartesian
0.000 1.521 4.499
0.000 3.061 1.608
0.000 0.000 0.000
2.220 2.259 -0.764
2.220 3.779 3.731
2.220 0.803 2.376
```

Output
**Magnetic moment**: 0.00 μB/f.u.
**Energy above the lowest structure with this stoichiometry**: 0.00 kJ/mol of atoms
**E_form**: -0.393 eV/atom

=====

# 6
PrMgSn2: optimized geometry, GGA-PBE.

Geometry as POSCAR:
```
PrMgSn2
1.0
4.527 0.000 0.000
0.000 4.820 0.000
0.000 0.000 4.820
Sn Mg Pr
2 1 1
Cartesian
0.000 0.000 2.410
0.000 2.410 0.000
2.264 2.410 2.410
2.264 0.000 0.000
```

Output
**Magnetic moment**: 0.00 μB/f.u.
**Energy above the lowest structure with this stoichiometry**: 0.00 kJ/mol of atoms
**E_form**: -0.537 eV/atom

=====

# 7
Pr3Mg5Sn2: optimized geometry, GGA-PBE.

Geometry as POSCAR:
```
Pr3Mg5Sn2
1.0
6.388 0.000 0.000
3.194 9.304 -1.504
3.194 1.019 9.369
Mg Pr Sn
10 6 4
Cartesian
9.582 5.172 6.386
6.388 7.530 3.291
6.388 2.793 4.574
7.985 2.645 2.016
7.985 7.677 5.850
7.985 5.161 3.933
4.791 7.677 5.850
4.791 2.645 2.016
3.194 5.151 1.479
4.791 5.161 3.933
6.388 4.333 7.689
1.597 0.000 0.000
6.388 5.990 0.176
9.582 8.563 2.137
4.791 0.000 0.000
3.194 1.759 5.728
6.388 0.903 6.586
6.388 9.419 1.279
9.582 3.733 8.742
3.194 6.590 -0.877
```

Output
**Magnetic moment**: 0.28 μB/f.u.
**E_form**: -0.242 eV/atom

=====

# 8
Pr5Mg2Sn4: optimized geometry, GGA-PBE.

Geometry as POSCAR:
```
Pr5Mg2Sn4
1.0
4.522 0.000 0.000
0.000 7.665 -0.545
-2.261 -3.122 10.528
Mg Pr Sn
2 5 4
Cartesian
0.000 0.618 8.764
2.261 3.926 1.219
2.261 -1.543 7.099
0.000 6.087 2.884
2.261 2.515 6.811
0.000 2.029 3.171
2.261 0.000 0.000
2.261 4.131 4.050
0.000 0.412 5.933
2.261 -0.829 10.363
0.000 5.373 -0.381
```

Output
**Magnetic moment**: 2.14 μB/f.u.
**E_form**: -0.382 eV/atom

=====

# 9
PrMgSn2: optimized geometry, GGA-PBE.

Geometry as POSCAR:
```
PrMgSn2
1.0
5.366 0.000 0.000
2.683 4.648 0.000
2.683 1.549 4.382
Mg Pr Sn
1 1 2
Cartesian
0.000 0.000 0.000
5.366 3.098 2.191
2.683 1.549 1.095
8.050 4.648 3.286
```

Output
**Magnetic moment**: 0.00 μB/f.u.
**Energy above the lowest structure with this stoichiometry**: 18.89 kJ/mol of atoms
**E_form**: -0.341 eV/atom

=====

# 10
Pr3MgSn: optimized geometry, GGA-PBE.

Geometry as POSCAR:
```
Pr3MgSn
1.0
7.857 1.369 -0.188
-0.495 7.961 -0.188
-2.385 -3.022 9.867
Mg Pr Sn
4 12 4
Cartesian
0.632 4.173 1.450
2.719 0.073 6.384
2.258 6.234 3.106
4.346 2.135 8.040
-1.616 3.381 8.669
2.504 0.691 1.011
-1.102 1.085 5.944
3.698 4.512 5.600
6.594 2.927 0.821
1.279 1.795 3.890
0.256 0.150 8.823
4.721 6.157 0.667
0.121 5.582 5.754
6.080 5.223 3.546
2.474 5.616 8.479
4.857 0.725 3.736
5.578 -0.510 7.212
-0.600 6.818 2.278
1.374 2.807 7.212
3.603 3.501 2.278
```

Output
**Magnetic moment**: 0.00 μB/f.u.
**E_form**: -0.239 eV/atom

=====

# 11
Pr3Mg4Sn4: optimized geometry, GGA-PBE.

Geometry as POSCAR:
```
Pr3Mg4Sn4
1.0
-1.244 -4.443 0.048
4.065 -1.214 -7.000
5.062 1.061 7.541
Mg Sn Pr
4 4 3
Cartesian
5.020 -1.391 1.312
4.429 -3.673 -3.421
2.862 -3.205 -0.723
3.453 -0.923 4.010
2.603 -3.185 -5.529
0.218 -2.473 -1.422
2.962 -3.200 2.275
4.921 -1.396 -1.686
6.386 -4.188 -0.350
1.496 -0.409 0.940
2.032 -0.607 -3.500
```

Output
**Magnetic moment**: 0.00 μB/f.u.
**E_form**: -0.512 eV/atom

=====

# 12
Pr4MgSn: optimized geometry, GGA-PBE.

Geometry as POSCAR:
```
Pr4MgSn
1.0
5.620 0.000 0.000
0.000 6.798 0.000
-2.810 0.000 11.360
Pr Mg Sn
8 2 2
Cartesian
2.810 3.847 4.734
0.000 5.588 3.089
0.000 5.591 9.739
0.000 0.448 6.626
2.810 0.533 4.732
2.810 2.189 8.271
2.810 2.192 1.621
0.000 3.931 6.628
0.000 2.191 9.729
2.810 5.590 1.631
2.810 5.589 7.795
0.000 2.191 3.565
```

Output
**Magnetic moment**: 0.00 μB/f.u.
**E_form**: -0.053 eV/atom